[1]
Density functional theory data (GGA-PBE) for crystalline Hg6S at its relaxed geometry.

Unit cell a=8.325 b=8.325 c=8.325 alpha=90.00 beta=90.00 gamma=90.00
Space group Im-3m (No. 229)
Unique sites:
Hg (0.000, 0.250, 0.500) [12 per cell]
S (0.000, 0.000, 0.000) [2 per cell]

Summary:
**ΔE_f (raw)**: 424.6 meV per atom

---

[2]
Density functional theory data (GGA-PBE) for crystalline Mg16Al12Ge at its relaxed geometry.

Unit cell a=10.508 b=10.508 c=10.508 alpha=90.00 beta=90.00 gamma=90.00
Space group I-43m (No. 217)
Unique sites:
Mg (0.044, 0.358, 0.358) [24 per cell]
Mg (0.168, 0.168, 0.832) [8 per cell]
Al (0.092, 0.092, 0.279) [24 per cell]
Ge (0.000, 0.000, 0.000) [2 per cell]

Summary:
**Formation energy**: 0.0 eV per formula unit
**Energy above the most stable polymorph in this dataset**: 27.8 meV per atom

---

[3]
Density functional theory data (GGA-PBE) for crystalline CaPrHo at its relaxed geometry.

Unit cell a=3.697 b=3.697 c=15.716 alpha=90.00 beta=90.00 gamma=90.00
Space group I4mm (No. 107)
Unique sites:
Ca (0.000, 0.000, 0.000) [2 per cell]
Pr (0.000, 0.000, 0.679) [2 per cell]
Ho (0.000, 0.000, 0.328) [2 per cell]

Summary:
**Formation energy**: 0.1 eV per formula unit
**Energy above the most stable polymorph in this dataset**: 16.0 meV per atom

---

[4]
Density functional theory data (GGA-PBE) for crystalline La2NiPt at its relaxed geometry.

Unit cell a=4.196 b=4.196 c=5.947 alpha=90.00 beta=90.00 gamma=90.00
Space group P4mm (No. 99)
Unique sites:
La (0.000, 0.000, 0.000) [1 per cell]
La (0.500, 0.500, 0.500) [1 per cell]
Ni (0.000, 0.000, 0.499) [1 per cell]
Pt (0.500, 0.500, 0.000) [1 per cell]

Summary:
**Formation energy**: -2.7 eV per formula unit

---

[5]
Density functional theory data (GGA-PBE) for crystalline NpInPd at its relaxed geometry.

Unit cell a=9.723 b=3.380 c=7.520 alpha=90.00 beta=105.13 gamma=90.00
Space group C2/m (No. 12)
Unique sites:
Np (0.174, 0.000, 0.043) [4 per cell]
In (0.158, 0.000, 0.598) [4 per cell]
Pd (0.033, 0.500, 0.275) [4 per cell]

Summary:
**Formation energy**: -0.6 eV per formula unit

---

[6]
Density functional theory data (GGA-PBE) for crystalline Mg2Ga at its relaxed geometry.

Unit cell a=4.870 b=3.179 c=15.978 alpha=90.00 beta=90.00 gamma=90.00
Space group Amm2 (No. 38)
Unique sites:
Mg (0.000, 0.000, 0.000) [2 per cell]
Mg (0.000, 0.000, 0.328) [2 per cell]
Mg (0.000, 0.000, 0.665) [2 per cell]
Mg (0.500, 0.000, 0.884) [2 per cell]
Ga (0.500, 0.000, 0.216) [2 per cell]
Ga (0.500, 0.000, 0.553) [2 per cell]

Summary:
**Formation energy**: -0.2 eV per formula unit

---

[7]
Density functional theory data (GGA-PBE) for crystalline TmZrCdAu at its relaxed geometry.

Unit cell a=7.096 b=7.096 c=7.096 alpha=90.00 beta=90.00 gamma=90.00
Space group F-43m (No. 216)
Unique sites:
Tm (0.000, 0.000, 0.000) [4 per cell]
Zr (0.000, 0.000, 0.500) [4 per cell]
Cd (0.250, 0.250, 0.750) [4 per cell]
Au (0.250, 0.250, 0.250) [4 per cell]

Summary:
**Formation energy**: -1.4 eV per formula unit

---

[8]
Density functional theory data (GGA-PBE) for crystalline GaFe2As2 at its relaxed geometry.

Unit cell a=7.024 b=7.024 c=2.831 alpha=90.00 beta=90.00 gamma=90.00
Space group P4/mbm (No. 127)
Unique sites:
Ga (0.000, 0.000, 0.000) [2 per cell]
Fe (0.141, 0.359, 0.000) [4 per cell]
As (0.149, 0.649, 0.500) [4 per cell]

Summary:
**Formation energy**: 0.6 eV per formula unit
**Energy above the most stable polymorph in this dataset**: 68.2 meV per atom